## HoZr2Tl (GGA-PBE)

Data for an optimized crystal structure of HoZr2Tl.

Lattice parameters (Å, degrees): 4.195 4.568 10.982 90.00 100.89 90.00
Atoms (fractional coordinates):
Ho (0.190, 0.250, 0.384)
Ho (0.810, 0.750, 0.616)
Zr (0.053, 0.750, 0.106)
Zr (0.449, 0.750, 0.896)
Zr (0.551, 0.250, 0.104)
Zr (0.947, 0.250, 0.894)
Tl (0.339, 0.250, 0.676)
Tl (0.661, 0.750, 0.324)

Results
E above lowest polymorph: 0.000 eV/f.u.
Total energy: -49.3 eV for the cell shown
Calculated formation energy: -15.26 kJ per mole of atoms